Entry 1:
La4Tb2Nd2Ho after structural relaxation. Source: Alexandria via LeMat-Bulk, functional GGA-PBE.

a = 5.190 Å, b = 8.209 Å, c = 8.179 Å
α = 107.69°, β = 90.00°, γ = 108.43°
Element x y z (fractional)
La1 0.777 0.554 0.667
La2 0.223 0.446 0.333
La3 0.554 0.108 0.333
La4 0.446 0.892 0.667
Tb1 0.889 0.778 0.330
Tb2 0.111 0.222 0.670
Nd1 0.334 0.668 0.000
Nd2 0.666 0.332 0.000
Ho1 0.000 0.000 0.000

Results
Crystal system: monoclinic
Formation enthalpy at 0 K: 19 kJ/mol of formula units
Calculated volume: 34.801 A^3/atom



Entry 2:
NdEu2Cd after structural relaxation. Source: Alexandria via LeMat-Bulk, functional GGA-PBE.

a = 5.137 Å, b = 5.079 Å, c = 5.079 Å
α = 90.00°, β = 90.00°, γ = 90.00°
Last column: magnetic moment on the atom in μB.
Element x y z (fractional)
Eu1 0.000 0.000 0.500  6.97
Eu2 0.000 0.500 0.000  6.97
Nd1 0.500 0.500 0.500  0.22
Cd1 0.500 0.000 0.000  0.03

Results
Crystal system: tetragonal
Distance to the lowest polymorph of the same formula: 51 meV per atom
Formation enthalpy at 0 K: -24 kJ/mol of formula units
Calculated volume: 33.126 A^3/atom



Entry 3:
Sr2LiCd2 after structural relaxation. Source: Alexandria via LeMat-Bulk, functional GGA-PBE.

a = 8.604 Å, b = 8.604 Å, c = 4.620 Å
α = 90.00°, β = 90.00°, γ = 90.00°
Element x y z (fractional)
Sr1 0.171 0.671 0.500
Sr2 0.671 0.829 0.500
Sr3 0.829 0.329 0.500
Sr4 0.329 0.171 0.500
Li1 0.000 0.000 0.000
Li2 0.500 0.500 0.000
Cd1 0.373 0.873 0.000
Cd2 0.873 0.627 0.000
Cd3 0.627 0.127 0.000
Cd4 0.127 0.373 0.000

Results
Crystal system: tetragonal
Distance to the lowest polymorph of the same formula: 44 meV per atom
Formation enthalpy at 0 K: -103 kJ/mol of formula units
Calculated volume: 34.197 A^3/atom



Question: Which value of calculated volume does entry 2 give?
Answer: 33.126 A^3/atom



Question: Among the records above, which one has the lowest calculated volume?
Answer: NdEu2Cd



Question: What is the formula in the second record?
Answer: NdEu2Cd